No. 1
The following is a PBE calculation of an optimized crystal structure of CeHoZn3, from Alexandria.

Computed properties:
- E_form (meV per atom) = -285
- energy (eV/atom) = -3.1515

a = 13.790 Å, b = 13.790 Å, c = 4.570 Å
α = 90.00°, β = 90.00°, γ = 165.59°
Atoms (fractional coordinates):
1 Ce 0.073 0.927 0.750
2 Ce 0.927 0.073 0.250
3 Ho 0.210 0.790 0.250
4 Ho 0.790 0.210 0.750
5 Zn 0.326 0.674 0.250
6 Zn 0.379 0.621 0.750
7 Zn 0.476 0.524 0.750
8 Zn 0.524 0.476 0.250
9 Zn 0.621 0.379 0.250
10 Zn 0.674 0.326 0.750

No. 2
The following is a PBE calculation of an optimized crystal structure of Li3ZnPd, from Alexandria.

Computed properties:
- energy relative to the lowest polymorph listed for this composition (eV per atom) = 0.3105
- E_form (meV per atom) = 61
- energy (eV/atom) = -2.3804

a = 4.716 Å, b = 4.716 Å, c = 4.716 Å
α = 90.00°, β = 90.00°, γ = 90.00°
Atoms (fractional coordinates):
1 Li 0.000 0.000 0.500
2 Li 0.000 0.500 0.000
3 Li 0.500 0.000 0.000
4 Zn 0.500 0.500 0.500
5 Pd 0.000 0.000 0.000

No. 3
The following is a PBE calculation of an optimized crystal structure of KPt, from Alexandria.

Computed properties:
- E_form (meV per atom) = 258
- energy (eV/atom) = -3.3111

a = 5.611 Å, b = 5.611 Å, c = 5.611 Å
α = 31.09°, β = 31.09°, γ = 31.09°
Atoms (fractional coordinates):
1 K 0.000 0.000 0.000
2 Pt 0.500 0.500 0.500

No. 4
The following is a PBE calculation of an optimized crystal structure of ZrCo3, from Alexandria.

Computed properties:
- E_form (meV per atom) = 5
- energy (eV/atom) = -7.4618

a = 4.251 Å, b = 4.251 Å, c = 4.251 Å
α = 60.00°, β = 60.00°, γ = 60.00°
Atoms (fractional coordinates):
1 Zr 0.000 0.000 0.000
2 Co 0.250 0.250 0.250
3 Co 0.500 0.500 0.500
4 Co 0.750 0.750 0.750

No. 5
The following is a PBE calculation of an optimized crystal structure of AcHoNiPt, from Alexandria.

Computed properties:
- E_form (meV per atom) = -612
- energy (eV/atom) = -5.7395

a = 5.090 Å, b = 5.090 Å, c = 5.090 Å
α = 60.00°, β = 60.00°, γ = 60.00°
Atoms (fractional coordinates):
1 Ac 0.000 0.000 0.000
2 Ho 0.500 0.500 0.500
3 Ni 0.250 0.250 0.250
4 Pt 0.750 0.750 0.750

No. 6
The following is a PBE calculation of an optimized crystal structure of Ho3BI3, from Alexandria.

Computed properties:
- energy (eV/atom) = -4.5286

a = 10.152 Å, b = 10.152 Å, c = 10.152 Å
α = 109.47°, β = 109.47°, γ = 109.47°
Atoms (fractional coordinates):
1 Ho 0.027 0.054 0.277
2 Ho 0.027 0.473 0.750
3 Ho 0.054 0.277 0.027
4 Ho 0.223 0.277 0.750
5 Ho 0.223 0.446 0.473
6 Ho 0.277 0.027 0.054
7 Ho 0.277 0.750 0.223
8 Ho 0.446 0.473 0.223
9 Ho 0.473 0.223 0.446
10 Ho 0.473 0.750 0.027
11 Ho 0.750 0.027 0.473
12 Ho 0.750 0.223 0.277
13 B 0.000 0.250 0.500
14 B 0.250 0.250 0.250
15 B 0.250 0.500 0.000
16 B 0.500 0.000 0.250
17 I 0.250 0.759 0.741
18 I 0.250 0.991 0.509
19 I 0.509 0.250 0.991
20 I 0.509 0.759 0.518
21 I 0.518 0.509 0.759
22 I 0.741 0.250 0.759
23 I 0.741 0.991 0.982
24 I 0.759 0.518 0.509
25 I 0.759 0.741 0.250
26 I 0.982 0.741 0.991
27 I 0.991 0.509 0.250
28 I 0.991 0.982 0.741

No. 7
The following is a PBE calculation of an optimized crystal structure of LiTcGe, from Alexandria.

Computed properties:
- energy relative to the lowest polymorph listed for this composition (eV per atom) = 0.0340
- E_form (meV per atom) = -174
- energy (eV/atom) = -5.8063

a = 4.574 Å, b = 4.574 Å, c = 7.308 Å
α = 96.70°, β = 96.70°, γ = 38.31°
Atoms (fractional coordinates):
1 Li 0.151 0.151 0.108
2 Li 0.849 0.849 0.892
3 Tc 0.370 0.370 0.567
4 Tc 0.630 0.630 0.433
5 Ge 0.104 0.104 0.728
6 Ge 0.896 0.896 0.272

No. 8
The following is a PBE calculation of an optimized crystal structure of Dy8Ge3Te4Cl, from Alexandria.

Computed properties:
- energy (eV/atom) = -5.3114

a = 8.574 Å, b = 8.574 Å, c = 8.574 Å
α = 58.91°, β = 58.91°, γ = 58.91°
Atoms (fractional coordinates):
1 Dy 0.227 0.747 0.747
2 Dy 0.240 0.240 0.240
3 Dy 0.253 0.253 0.773
4 Dy 0.253 0.773 0.253
5 Dy 0.747 0.227 0.747
6 Dy 0.747 0.747 0.227
7 Dy 0.760 0.760 0.760
8 Dy 0.773 0.253 0.253
9 Ge 0.000 0.000 0.500
10 Ge 0.000 0.500 0.000
11 Ge 0.500 0.000 0.000
12 Te 0.000 0.000 0.000
13 Te 0.000 0.500 0.500
14 Te 0.500 0.000 0.500
15 Te 0.500 0.500 0.000
16 Cl 0.500 0.500 0.500